1.
DFT (PBE-GGA) results for a relaxed structure of YTe2Os.

a b c (Å): 3.763 3.763 7.241
angles (deg): 90.00 90.00 90.00
Last column: magnetic moment on the atom in μB.
Element x y z (fractional)
1 Y 0.000 0.000 0.505  0.01
2 Os 0.500 0.500 0.756  1.04
3 Te 0.000 0.000 0.915  0.03
4 Te 0.500 0.500 0.324  0.01

- Fermi-level density of states: 1.75 states/eV/cell
- Polymorph energy (0 for the lowest one): 233 meV per atom
- Volume: 25.64 A^3/atom
- SG: P4mm
- DFT total energy: -24.56 eV/cell


2.
DFT (PBE-GGA) results for a relaxed structure of Y5Te2Os2.

a b c (Å): 7.774 7.710 8.850
angles (deg): 90.00 63.95 90.00
Element x y z (fractional)
1 Y 0.944 0.327 0.760
2 Y 0.296 0.673 0.760
3 Y 0.556 0.827 0.240
4 Y 0.000 0.000 0.000
5 Y 0.204 0.173 0.240
6 Y 0.796 0.827 0.760
7 Y 0.500 0.500 0.000
8 Y 0.704 0.327 0.240
9 Y 0.056 0.673 0.240
10 Y 0.444 0.173 0.760
11 Os 0.115 0.388 0.000
12 Os 0.385 0.888 0.000
13 Os 0.615 0.112 0.000
14 Os 0.885 0.612 0.000
15 Te 0.288 0.500 0.424
16 Te 0.788 0.000 0.424
17 Te 0.212 0.000 0.576
18 Te 0.712 0.500 0.576

- Fermi-level density of states: 8.94 states/eV/cell
- Volume: 26.47 A^3/atom
- SG: Cmce
- DFT total energy: -135.59 eV/cell


3.
DFT (PBE-GGA) results for a relaxed structure of YTe2Os.

a b c (Å): 7.198 7.198 7.198
angles (deg): 149.01 141.82 49.96
Element x y z (fractional)
1 Y 0.750 0.250 0.500
2 Te 0.398 0.398 0.000
3 Te 0.102 0.102 0.000
4 Os 0.250 0.750 0.500

- Fermi-level density of states: 2.92 states/eV/cell
- Polymorph energy (0 for the lowest one): 0 meV per atom
- Volume: 29.53 A^3/atom
- SG: Immm
- DFT total energy: -25.49 eV/cell


4.
DFT (PBE-GGA) results for a relaxed structure of YTe2Os.

a b c (Å): 3.802 6.012 5.949
angles (deg): 44.12 90.00 90.00
Last column: magnetic moment on the atom in μB.
Element x y z (fractional)
1 Os 0.000 0.000 0.500  0.48
2 Te 0.500 0.500 0.000  0.00
3 Te 0.000 0.000 0.000  0.00
4 Y 0.500 0.500 0.500  -0.01

- Fermi-level density of states: 2.73 states/eV/cell
- Polymorph energy (0 for the lowest one): 371 meV per atom
- Volume: 23.67 A^3/atom
- SG: P2/m
- DFT total energy: -24.00 eV/cell


5.
DFT (PBE-GGA) results for a relaxed structure of YTe2Os.

a b c (Å): 5.103 5.103 5.103
angles (deg): 60.00 60.00 60.00
Last column: magnetic moment on the atom in μB.
Element x y z (fractional)
1 Te 0.750 0.750 0.750  0.01
2 Te 0.000 0.000 0.000  0.10
3 Os 0.500 0.500 0.500  0.93
4 Y 0.250 0.250 0.250  -0.01

- Fermi-level density of states: 3.49 states/eV/cell
- Polymorph energy (0 for the lowest one): 744 meV per atom
- Volume: 23.49 A^3/atom
- SG: F-43m
- DFT total energy: -22.51 eV/cell


6.
DFT (PBE-GGA) results for a relaxed structure of YTeOs.

a b c (Å): 4.574 4.574 3.580
angles (deg): 90.00 90.00 120.00
Element x y z (fractional)
1 Os 0.000 0.000 0.167
2 Y 0.333 0.667 0.667
3 Te 0.667 0.333 0.167

- Fermi-level density of states: 2.18 states/eV/cell
- Volume: 21.62 A^3/atom
- SG: P-6m2
- DFT total energy: -21.73 eV/cell


7.
DFT (PBE-GGA) results for a relaxed structure of YTe2Os.

a b c (Å): 9.278 9.278 9.278
angles (deg): 24.39 24.39 24.39
Element x y z (fractional)
1 Os 0.500 0.500 0.500
2 Y 0.000 0.000 0.000
3 Te 0.886 0.886 0.886
4 Te 0.114 0.114 0.114

- Fermi-level density of states: 7.96 states/eV/cell
- Polymorph energy (0 for the lowest one): 524 meV per atom
- Volume: 29.93 A^3/atom
- SG: R-3m
- DFT total energy: -23.39 eV/cell


8.
DFT (PBE-GGA) results for a relaxed structure of ZnTeOs2.

a b c (Å): 4.929 4.929 4.929
angles (deg): 131.94 131.94 70.33
Element x y z (fractional)
1 Os 0.000 0.000 0.000
2 Os 0.250 0.750 0.500
3 Te 0.500 0.500 0.000
4 Zn 0.750 0.250 0.500

- Fermi-level density of states: 5.27 states/eV/cell
- Polymorph energy (0 for the lowest one): 399 meV per atom
- Volume: 16.23 A^3/atom
- SG: I-4m2
- DFT total energy: -23.64 eV/cell


9.
DFT (PBE-GGA) results for a relaxed structure of ZnTeOs.

a b c (Å): 6.517 6.517 6.517
angles (deg): 152.31 152.31 39.56
Element x y z (fractional)
1 Te 0.630 0.630 0.000
2 Os 0.999 0.999 0.000
3 Zn 0.370 0.370 0.000

- Fermi-level density of states: 1.55 states/eV/cell
- Polymorph energy (0 for the lowest one): 23 meV per atom
- Volume: 19.88 A^3/atom
- SG: I4mm
- DFT total energy: -14.35 eV/cell


10.
DFT (PBE-GGA) results for a relaxed structure of ZnTeOs.

a b c (Å): 3.233 3.233 6.289
angles (deg): 90.00 90.00 120.00
Element x y z (fractional)
1 Zn 0.667 0.333 0.701
2 Os 0.000 0.000 0.999
3 Te 0.333 0.667 0.299

- Fermi-level density of states: 1.78 states/eV/cell
- Polymorph energy (0 for the lowest one): 55 meV per atom
- Volume: 18.98 A^3/atom
- SG: P3m1
- DFT total energy: -14.26 eV/cell


11.
DFT (PBE-GGA) results for a relaxed structure of ZnTeOs2.

a b c (Å): 5.027 5.027 5.104
angles (deg): 66.34 66.34 35.16
Element x y z (fractional)
1 Te 0.479 0.479 0.548
2 Zn 0.275 0.275 0.175
3 Os 0.725 0.725 0.681
4 Os 0.020 0.020 0.097

- Fermi-level density of states: 1.25 states/eV/cell
- Polymorph energy (0 for the lowest one): 143 meV per atom
- Volume: 16.85 A^3/atom
- SG: Cm
- DFT total energy: -24.66 eV/cell


12.
DFT (PBE-GGA) results for a relaxed structure of ZnTeOs2.

a b c (Å): 2.906 2.906 8.377
angles (deg): 90.00 90.00 90.00
Element x y z (fractional)
1 Te 0.000 0.000 0.477
2 Os 0.000 0.000 0.013
3 Os 0.500 0.500 0.208
4 Zn 0.500 0.500 0.802

- Fermi-level density of states: 3.53 states/eV/cell
- Polymorph energy (0 for the lowest one): 35 meV per atom
- Volume: 17.69 A^3/atom
- SG: P4mm
- DFT total energy: -25.09 eV/cell


13.
DFT (PBE-GGA) results for a relaxed structure of ZnTeOs2.

a b c (Å): 4.556 4.556 5.050
angles (deg): 80.01 80.01 39.08
Element x y z (fractional)
1 Te 0.750 0.750 0.750
2 Os 0.497 0.497 0.483
3 Os 0.003 0.003 0.017
4 Zn 0.250 0.250 0.250

- Fermi-level density of states: 3.17 states/eV/cell
- Polymorph energy (0 for the lowest one): 199 meV per atom
- Volume: 16.24 A^3/atom
- SG: C2/m
- DFT total energy: -24.44 eV/cell


14.
DFT (PBE-GGA) results for a relaxed structure of ZnTeOs.

a b c (Å): 7.812 7.506 3.064
angles (deg): 84.14 72.89 22.97
Element x y z (fractional)
1 Zn 0.357 0.357 0.643
2 Te 0.644 0.644 0.356
3 Os 0.998 0.998 0.002

- Fermi-level density of states: 2.45 states/eV/cell
- Polymorph energy (0 for the lowest one): 318 meV per atom
- Volume: 19.91 A^3/atom
- SG: Fmm2
- DFT total energy: -13.47 eV/cell


15.
DFT (PBE-GGA) results for a relaxed structure of ZnTeOs2.

a b c (Å): 2.874 2.874 9.309
angles (deg): 90.00 90.00 119.09
Element x y z (fractional)
1 Os 0.000 0.000 0.981
2 Os 0.000 0.000 0.519
3 Zn 0.500 0.500 0.750
4 Te 0.500 0.500 0.250

- Fermi-level density of states: 4.44 states/eV/cell
- Polymorph energy (0 for the lowest one): 513 meV per atom
- Volume: 16.80 A^3/atom
- SG: Cmmm
- DFT total energy: -23.18 eV/cell


16.
DFT (PBE-GGA) results for a relaxed structure of Zn3TeOs.

a b c (Å): 4.859 4.859 4.859
angles (deg): 90.00 90.00 90.00
Last column: magnetic moment on the atom in μB.
Element x y z (fractional)
1 Os 0.000 0.000 0.000  0.59
2 Zn 0.000 0.500 0.000  -0.01
3 Zn 0.000 0.000 0.500  0.00
4 Zn 0.500 0.000 0.000  -0.02
5 Te 0.500 0.500 0.500  0.12

- Fermi-level density of states: 5.45 states/eV/cell
- Polymorph energy (0 for the lowest one): 0 meV per atom
- Volume: 22.94 A^3/atom
- SG: Pm-3m
- DFT total energy: -14.49 eV/cell


17.
DFT (PBE-GGA) results for a relaxed structure of ZnTeOs2.

a b c (Å): 2.909 2.909 10.177
angles (deg): 90.00 90.00 121.07
Element x y z (fractional)
1 Os 0.500 0.500 0.224
2 Os 0.000 0.000 0.014
3 Te 0.000 0.000 0.469
4 Zn 0.500 0.500 0.794

- Fermi-level density of states: 3.88 states/eV/cell
- Polymorph energy (0 for the lowest one): 400 meV per atom
- Volume: 18.44 A^3/atom
- SG: Cmm2
- DFT total energy: -23.63 eV/cell


18.
DFT (PBE-GGA) results for a relaxed structure of ZnTeOs2.

a b c (Å): 4.459 4.459 4.459
angles (deg): 60.00 60.00 60.00
Element x y z (fractional)
1 Os 0.750 0.750 0.750
2 Os 0.250 0.250 0.250
3 Zn 0.000 0.000 0.000
4 Te 0.500 0.500 0.500

- Fermi-level density of states: 1.01 states/eV/cell
- Polymorph energy (0 for the lowest one): 144 meV per atom
- Volume: 15.67 A^3/atom
- SG: Fm-3m
- DFT total energy: -24.66 eV/cell


19.
DFT (PBE-GGA) results for a relaxed structure of ZnTeOs2.

a b c (Å): 10.063 10.063 10.063
angles (deg): 16.64 16.64 16.64
Element x y z (fractional)
1 Os 0.261 0.261 0.261
2 Os 0.994 0.994 0.994
3 Zn 0.733 0.733 0.733
4 Te 0.512 0.512 0.512

- Fermi-level density of states: 1.75 states/eV/cell
- Polymorph energy (0 for the lowest one): 150 meV per atom
- Volume: 18.22 A^3/atom
- SG: R3m
- DFT total energy: -24.63 eV/cell


20.
DFT (PBE-GGA) results for a relaxed structure of ZnTeOs2.

a b c (Å): 4.434 4.434 3.215
angles (deg): 90.00 90.00 90.00
Element x y z (fractional)
1 Os 0.000 0.000 0.000
2 Os 0.500 0.500 0.000
3 Te 0.500 0.000 0.500
4 Zn 0.000 0.500 0.500

- Fermi-level density of states: 2.78 states/eV/cell
- Polymorph energy (0 for the lowest one): 238 meV per atom
- Volume: 15.81 A^3/atom
- SG: P4/mmm
- DFT total energy: -24.28 eV/cell